Crystalline CaAl2TeO6 at its relaxed geometry. Source: the Alexandria database, functional PBE-GGA.

Computed properties:
VASP energy   -6.668 eV/atom
Formation energy (no corrections)   -2430 meV/atom

abc: 10.414 9.374 5.883
angles: 90.00 107.71 90.00
Space group C2/c (No. 15)
Inequivalent atoms, fractional coordinates:
1 Ca 0.000 0.102 0.250 [4 per cell]
2 Al 0.212 0.411 0.233 [8 per cell]
3 Te 0.000 0.282 0.750 [4 per cell]
4 O 0.106 0.128 0.666 [8 per cell]
5 O 0.118 0.257 0.102 [8 per cell]
6 O 0.186 0.463 0.503 [8 per cell]